CoClF3 | Alexandria via LeMat-Bulk | GGA+U | relaxed; DOS at the Fermi energy = 26.329 states/eV/f.u.; energy relative to the lowest polymorph listed for this composition = 146.72 kJ/mol of atoms; electronic total energy = -2.4781 eV/atom; SG = Pm-3m; M_tot = 2.62 μB per cell
1.0
-3.8467 -1.4405 1.4873
-0.6290 -2.1768 -3.7350
1.9727 -3.5030 1.7094
F Co Cl
3 1 1
direct
0.0000 0.5000 0.0000 F
0.0000 0.0000 0.5000 F
0.5000 0.0000 0.0000 F
0.5000 0.5000 0.5000 Co
0.0000 0.0000 0.0000 Cl